No. 1
A plane-wave DFT calculation with PBE was carried out for a relaxed structure of PrNdEr2Sb4.

Lattice parameters (Å, degrees): 4.4532 7.6935 7.7083 70.49 90.00 90.00
With the nearest neighbours (Å) after each atom.
Atoms (fractional coordinates):
1 Pr 0.5000 0.5000 0.0000  6 Sb 3.20
2 Nd 0.0000 0.5000 0.5000  6 Sb 3.19
3 Er 0.0000 0.0000 0.0000  6 Sb 3.10
4 Er 0.5000 0.0000 0.5000  6 Sb 3.09
5 Sb 0.0000 0.7626 0.7449  3 Er 3.09-3.10, 1 Nd 3.19, 2 Pr 3.20
6 Sb 0.0000 0.2374 0.2551  3 Er 3.09-3.10, 1 Nd 3.19, 2 Pr 3.20
7 Sb 0.5000 0.7620 0.2469  3 Er 3.09-3.10, 2 Nd 3.19, 1 Pr 3.20
8 Sb 0.5000 0.2380 0.7531  3 Er 3.09-3.10, 2 Nd 3.19, 1 Pr 3.20

SG = P2/m
formation energy (no corrections) = -1.14 eV/atom
crystal system = monoclinic

No. 2
A plane-wave DFT calculation with PBE was carried out for a relaxed structure of HfCdMo3.

Lattice parameters (Å, degrees): 4.8142 4.8142 4.8142 90.00 90.00 90.00
With the nearest neighbours (Å) after each atom.
Atoms (fractional coordinates):
1 Mo 0.0000 0.5000 0.0000  2 Hf 2.41
2 Mo 0.0000 0.0000 0.5000  2 Hf 2.41
3 Mo 0.5000 0.0000 0.0000  2 Hf 2.41
4 Hf 0.0000 0.0000 0.0000  6 Mo 2.41
5 Cd 0.5000 0.5000 0.5000  12 Mo 3.40

SG = Pm-3m
crystal system = cubic

No. 3
A plane-wave DFT calculation with PBE was carried out for a relaxed structure of HfSc2Cd2.

Lattice parameters (Å, degrees): 8.3956 8.3956 3.2019 90.00 90.00 90.00
With the nearest neighbours (Å) after each atom.
Atoms (fractional coordinates):
1 Sc 0.3667 0.8667 0.0000  6 Cd 2.86-3.00, 3 Sc 3.17-3.20
2 Sc 0.8667 0.6333 0.0000  6 Cd 2.86-3.00, 3 Sc 3.17-3.20
3 Sc 0.6333 0.1333 0.0000  6 Cd 2.86-3.00, 3 Sc 3.17-3.20
4 Sc 0.1333 0.3667 0.0000  6 Cd 2.86-3.00, 3 Sc 3.17-3.20
5 Hf 0.0000 0.0000 0.0000  2 Hf 3.20, 4 Sc 3.28, 8 Cd 3.51
6 Hf 0.5000 0.5000 0.0000  2 Hf 3.20, 4 Sc 3.28, 8 Cd 3.51
7 Cd 0.1671 0.6671 0.5000  6 Sc 2.86-3.00, 2 Cd 3.20
8 Cd 0.6671 0.8329 0.5000  6 Sc 2.86-3.00, 2 Cd 3.20
9 Cd 0.8329 0.3329 0.5000  6 Sc 2.86-3.00, 2 Cd 3.20
10 Cd 0.3329 0.1671 0.5000  6 Sc 2.86-3.00, 2 Cd 3.20

SG = P4/mbm
crystal system = tetragonal

No. 4
A plane-wave DFT calculation with PBE was carried out for a relaxed structure of Dy6CdBi3.

Lattice parameters (Å, degrees): 8.4596 8.3568 8.3568 88.04 90.00 90.00
With the nearest neighbours (Å) after each atom.
Atoms (fractional coordinates):
1 Dy 0.1485 0.6607 0.6611  4 Bi 3.16-3.27, 2 Cd 3.31
2 Dy 0.6485 0.6611 0.6607  4 Bi 3.16-3.27, 2 Cd 3.31
3 Dy 0.3985 0.5005 0.0056  3 Bi 3.17-3.33, 1 Cd 3.21
4 Dy 0.8985 0.0056 0.5005  3 Bi 3.17-3.33, 1 Cd 3.21
5 Dy 0.1456 0.1633 0.8367  1 Cd 3.07, 5 Bi 3.17-3.34
6 Dy 0.6515 0.1630 0.8370  1 Cd 3.07, 5 Bi 3.17-3.34
7 Dy 0.1515 0.8370 0.1630  1 Cd 3.07, 5 Bi 3.17-3.34
8 Dy 0.6456 0.8367 0.1633  1 Cd 3.07, 5 Bi 3.17-3.34
9 Dy 0.3985 0.9944 0.4995  3 Bi 3.17-3.33, 1 Cd 3.21
10 Dy 0.8985 0.4995 0.9944  3 Bi 3.17-3.33, 1 Cd 3.21
11 Dy 0.1485 0.3389 0.3393  4 Bi 3.16-3.27, 2 Cd 3.31
12 Dy 0.6485 0.3393 0.3389  4 Bi 3.16-3.27, 2 Cd 3.31
13 Cd 0.8983 0.3572 0.6428  8 Dy 3.07-3.31, 1 Bi 3.23
14 Cd 0.3983 0.6428 0.3572  8 Dy 3.07-3.31, 1 Bi 3.23
15 Bi 0.3986 0.8558 0.8573  8 Dy 3.16-3.34, 1 Bi 3.45
16 Bi 0.8986 0.8573 0.8558  8 Dy 3.16-3.34, 1 Bi 3.45
17 Bi 0.3988 0.3643 0.6357  8 Dy 3.17-3.33, 1 Cd 3.23
18 Bi 0.8988 0.6357 0.3643  8 Dy 3.17-3.33, 1 Cd 3.23
19 Bi 0.8986 0.1442 0.1427  8 Dy 3.16-3.34, 1 Bi 3.45
20 Bi 0.3986 0.1427 0.1442  8 Dy 3.16-3.34, 1 Bi 3.45

SG = Cmcm
crystal system = orthorhombic

Quick rundown of total moment, same order as above: 0.000; 0.000; 0.000; 0.000 μB per atom
Quick rundown of raw total energy, same order as above: -5.53; -6.85; -4.80; -4.57 eV/atom
Quick rundown of V, same order as above: 248.92; 111.58; 225.69; 590.43 Å³/cell